This record from Alexandria via LeMat-Bulk describes a geometry-optimized LaW structure. The functional is PBE.

Output
energy above the lowest structure with this stoichiometry	2329	meV per atom
space group	No. 223

Cell lengths 8.1843, 8.1843, 8.1843 Å; angles 90.00, 90.00, 90.00 degrees
Atoms (fractional coordinates):
La (0.0000, 0.2500, 0.5000)
La (0.0000, 0.7500, 0.5000)
La (0.2500, 0.5000, 0.0000)
La (0.5000, 0.0000, 0.2500)
La (0.5000, 0.0000, 0.7500)
La (0.7500, 0.5000, 0.0000)
W (0.0000, 0.5000, 0.2500)
W (0.0000, 0.5000, 0.7500)
W (0.2500, 0.0000, 0.5000)
W (0.5000, 0.2500, 0.0000)
W (0.5000, 0.7500, 0.0000)
W (0.7500, 0.0000, 0.5000)

***

This record from Alexandria via LeMat-Bulk describes a geometry-optimized TbPuBi structure. The functional is PBE.

Output
space group	No. 107
electronic total energy	-7.89	eV per atom

Cell lengths 5.8977, 5.8977, 5.8977 Å; angles 139.06, 139.06, 59.28 degrees
Atoms (fractional coordinates):
Tb (0.0000, 0.0000, 0.0000)
Pu (0.6861, 0.6861, 0.0000)
Bi (0.3487, 0.3487, 0.0000)

***

This record from Alexandria via LeMat-Bulk describes a geometry-optimized TiSbPtI2 structure. The functional is PBE.

Output
energy above the lowest structure with this stoichiometry	0	meV per atom
energy relative to the elements, uncorrected	0.60	eV per atom
space group	No. 123

Cell lengths 5.5123, 5.5123, 5.2180 Å; angles 90.00, 90.00, 90.00 degrees
Atoms (fractional coordinates):
Ti (0.0000, 0.0000, 0.0000)
Sb (0.5000, 0.5000, 0.0000)
Pt (0.5000, 0.5000, 0.5000)
I (0.0000, 0.5000, 0.5000)
I (0.5000, 0.0000, 0.5000)

***

This record from Alexandria via LeMat-Bulk describes a geometry-optimized HfMgTi2 structure. The functional is PBE.

Output
space group	No. 160
electronic total energy	-6.71	eV per atom

Cell lengths 10.0944, 10.0944, 10.0944 Å; angles 17.34, 17.34, 17.34 degrees
Atoms (fractional coordinates):
Hf (0.0000, 0.0000, 0.0000)
Mg (0.8338, 0.8338, 0.8338)
Ti (0.4136, 0.4136, 0.4136)
Ti (0.5864, 0.5864, 0.5864)